Record 1
First-principles (PBE) data for a geometry-optimized SnTePdN2 structure, as listed in Alexandria.

Its raw formation energy is 6.49 eV per formula unit. Its magnetization is 0.6090 μB per atom.

a b c (Å): 4.2204 4.2204 5.5435
angles (deg): 90.00 90.00 90.00
Closest atoms and distances in Å follow each position.
Space group P4/mmm (No. 123)
Asymmetric unit:
Sn 0.0000 0.0000 0.0000  4 Te 2.98
Te 0.5000 0.5000 0.0000  2 Pd 2.77, 4 Sn 2.98
Pd 0.5000 0.5000 0.5000  4 N 2.11
N 0.0000 0.5000 0.5000  2 Pd 2.11


Record 2
First-principles (PBE) data for a geometry-optimized SnTePdN2 structure, as listed in Alexandria.

Its raw formation energy is 6.45 eV per formula unit. Its magnetization is 0.6040 μB per atom.

a b c (Å): 4.0786 4.0786 6.2498
angles (deg): 90.00 90.00 90.00
Closest atoms and distances in Å follow each position.
Space group P4/mmm (No. 123)
Asymmetric unit:
Sn 0.0000 0.0000 0.0000  4 N 2.04
Te 0.0000 0.0000 0.5000  4 Pd 2.88, 2 Sn 3.12
Pd 0.5000 0.5000 0.5000  4 Te 2.88
N 0.0000 0.5000 0.0000  2 Sn 2.04